Record 1
3
Lattice="0.000 3.645 3.645 3.645 0.000 3.645 3.645 3.645 0.000" Properties=species:S:1:pos:R:3 comment="TbTlPb, optimized geometry, DFT PBE" m_tot_mub_per_fu=0.0 rho_g_cm3=9.8 e_tot_ev_per_atom=-3.569 sg="F-43m, No. 216" de_polymorph_mev_per_atom=0 pbc="T T T"
Tb 0.000 0.000 0.000
Tl 5.467 5.467 5.467
Pb 3.645 3.645 3.645


Record 2
4
Lattice="0.000 3.264 3.264 3.264 0.000 3.264 3.264 3.264 0.000" Properties=species:S:1:pos:R:3 comment="FeHgGe2, optimized geometry, DFT PBE" m_tot_mub_per_fu=2.6 rho_g_cm3=9.6 e_tot_ev_per_atom=-3.882 sg="F-43m, No. 216" pbc="T T T"
Fe 0.000 0.000 0.000
Hg 4.895 4.895 4.895
Ge 1.632 1.632 1.632
Ge 3.264 3.264 3.264


Record 3
4
Lattice="0.000 2.818 2.818 2.818 0.000 2.818 2.818 2.818 0.000" Properties=species:S:1:pos:R:3 comment="FeCoBPd, optimized geometry, DFT PBE" m_tot_mub_per_fu=4.5 rho_g_cm3=8.6 e_tot_ev_per_atom=-6.503 sg="F-43m, No. 216" de_polymorph_mev_per_atom=0 pbc="T T T"
Fe 0.000 0.000 0.000
Co 4.227 4.227 4.227
B 2.818 2.818 2.818
Pd 1.409 1.409 1.409


Record 4
4
Lattice="0.000 3.273 3.273 3.273 0.000 3.273 3.273 3.273 0.000" Properties=species:S:1:pos:R:3 comment="Ta2AlAg, optimized geometry, DFT PBE" m_tot_mub_per_fu=0.5 rho_g_cm3=11.8 e_tot_ev_per_atom=-7.208 sg="F-43m, No. 216" pbc="T T T"
Ta 0.000 0.000 0.000
Ta 1.637 1.637 1.637
Al 3.273 3.273 3.273
Ag 4.910 4.910 4.910


Record 5
16
Lattice="5.540 0.000 0.000 0.000 8.428 0.000 0.000 0.000 4.685" Properties=species:S:1:pos:R:3 comment="DyOsNO, optimized geometry, DFT PBE" m_tot_mub_per_fu=0.0 rho_g_cm3=11.6 e_tot_ev_per_atom=-8.724 sg="Pca2_1, No. 29" de_polymorph_mev_per_atom=0 pbc="T T T"
Dy 0.131 1.326 0.000
Dy 2.639 1.326 2.343
Dy 2.901 7.102 0.000
Dy 5.408 7.102 2.343
Os 0.596 4.315 0.769
Os 2.174 4.315 3.112
Os 3.366 4.114 0.769
Os 4.944 4.114 3.112
N 0.721 5.495 3.854
N 2.049 5.495 1.511
N 3.491 2.934 3.854
N 4.819 2.934 1.511
O 0.546 0.744 2.458
O 2.224 0.744 0.115
O 3.316 7.684 2.458
O 4.994 7.684 0.115


Record 6
14
Lattice="1.722 -5.766 0.000 1.722 5.766 0.000 0.000 0.000 10.724" Properties=species:S:1:pos:R:3 comment="SmPa2N4, optimized geometry, DFT PBE" m_tot_mub_per_fu=0.0 rho_g_cm3=10.4 e_tot_ev_per_atom=-9.734 sg="Cmcm, No. 63" pbc="T T T"
Sm 1.722 4.498 8.043
Sm 1.722 -4.498 2.681
Pa 1.722 1.507 6.130
Pa 1.722 1.507 9.955
Pa 1.722 -1.507 0.768
Pa 1.722 -1.507 4.593
N 0.000 0.000 0.000
N 0.000 0.000 5.362
N 1.722 2.632 1.143
N 1.722 2.632 4.219
N 1.722 0.411 8.043
N 1.722 -0.411 2.681
N 1.722 -2.632 6.505
N 1.722 -2.632 9.581